Record 1
## AlTcHg (GGA-PBE)

Data for AlTcHg after structural relaxation.

Geometry as POSCAR:
```
AlTcHg
1.0
4.517 0.000 0.000
-2.259 3.912 0.000
0.000 0.000 2.819
Al Tc Hg
1 1 1
Direct
0.000 0.000 0.000
0.333 0.667 0.512
0.667 0.333 0.013
```

DOS(E_F) (states/eV per cell): 1.70
Energy above the lowest structure with this stoichiometry (meV/atom): 84
Total moment (Bohr magnetons per cell): 0.00
Space group: P3m1
Energy (eV per atom): -4.503
Volume (Å³/atom): 16.6
ΔH_f (0 K) (eV/atom): 0.3001


Record 2
## Al4TcHg (GGA-PBE)

Data for Al4TcHg after structural relaxation.

Geometry as POSCAR:
```
Al4TcHg
1.0
0.000 3.650 3.650
3.650 0.000 3.650
3.650 3.650 0.000
Al Tc Hg
4 1 1
Direct
0.376 0.376 0.376
0.376 0.376 0.872
0.376 0.872 0.376
0.872 0.376 0.376
0.750 0.750 0.750
0.000 0.000 0.000
```

DOS(E_F) (states/eV per cell): 1.97
Total moment (Bohr magnetons per cell): 0.00
Space group: F-43m
Energy (eV per atom): -4.137
Volume (Å³/atom): 16.2
ΔH_f (0 K) (eV/atom): 0.1363


Record 3
## Al2TcHg (GGA-PBE)

Data for Al2TcHg after structural relaxation.

Geometry as POSCAR:
```
Al2TcHg
1.0
2.874 0.000 0.000
0.000 4.800 0.000
0.000 0.000 4.763
Al Tc Hg
2 1 1
Direct
0.000 0.000 0.000
0.500 0.500 0.208
0.500 0.000 0.473
0.000 0.500 0.705
```

DOS(E_F) (states/eV per cell): 1.61
Total moment (Bohr magnetons per cell): 0.00
Space group: Pmm2
Energy (eV per atom): -4.496
Volume (Å³/atom): 16.4
ΔH_f (0 K) (eV/atom): 0.0426


Record 4
## AlTc3Hg (GGA-PBE)

Data for AlTc3Hg after structural relaxation.

Geometry as POSCAR:
```
AlTc3Hg
1.0
4.979 0.000 0.000
0.000 4.979 0.000
0.000 0.000 4.979
Al Tc Hg
1 3 1
Direct
0.000 0.000 0.000
0.000 0.500 0.500
0.500 0.000 0.500
0.500 0.500 0.000
0.500 0.500 0.500
```

DOS(E_F) (states/eV per cell): 6.01
Total moment (Bohr magnetons per cell): 7.32
Space group: Pm-3m
Energy (eV per atom): -4.603
Volume (Å³/atom): 24.7
ΔH_f (0 K) (eV/atom): 2.4252


Record 5
## Al2TcHg (GGA-PBE)

Data for Al2TcHg after structural relaxation.

Geometry as POSCAR:
```
Al2TcHg
1.0
9.511 0.000 0.000
0.000 3.375 0.000
-1.416 0.000 4.048
Al Tc Hg
4 2 2
Direct
0.000 0.000 0.000
0.240 0.000 0.667
0.500 0.500 0.000
0.740 0.500 0.667
0.226 0.500 0.137
0.726 0.000 0.137
0.486 0.000 0.480
0.986 0.500 0.480
```

DOS(E_F) (states/eV per cell): 3.97
Total moment (Bohr magnetons per cell): 0.00
Space group: Cm
Energy (eV per atom): -4.583
Volume (Å³/atom): 16.2
ΔH_f (0 K) (eV/atom): -0.0447


Record 6
## Al2TcHg (GGA-PBE)

Data for Al2TcHg after structural relaxation.

Geometry as POSCAR:
```
Al2TcHg
1.0
3.447 0.000 0.000
0.000 4.149 0.000
0.000 0.000 9.030
Al Tc Hg
4 2 2
Direct
0.000 0.000 0.000
0.000 0.500 0.239
0.500 0.000 0.739
0.500 0.500 0.500
0.000 0.500 0.725
0.500 0.000 0.225
0.000 0.000 0.485
0.500 0.500 0.985
```

DOS(E_F) (states/eV per cell): 2.45
Total moment (Bohr magnetons per cell): 0.00
Space group: Imm2
Energy (eV per atom): -4.574
Volume (Å³/atom): 16.1
ΔH_f (0 K) (eV/atom): -0.0361


Record 7
## AlTc4Hg (GGA-PBE)

Data for AlTc4Hg after structural relaxation.

Geometry as POSCAR:
```
AlTc4Hg
1.0
0.000 3.668 3.668
3.668 0.000 3.668
3.668 3.668 0.000
Al Tc Hg
1 4 1
Direct
0.000 0.000 0.000
0.125 0.625 0.625
0.625 0.125 0.625
0.625 0.625 0.125
0.625 0.625 0.625
0.250 0.250 0.250
```

DOS(E_F) (states/eV per cell): 6.00
Total moment (Bohr magnetons per cell): 0.00
Space group: F-43m
Energy (eV per atom): -7.156
Volume (Å³/atom): 16.5
ΔH_f (0 K) (eV/atom): 0.4290


Record 8
## Al2TcHg (GGA-PBE)

Data for Al2TcHg after structural relaxation.

Geometry as POSCAR:
```
Al2TcHg
1.0
2.989 0.000 0.000
-1.495 2.589 0.000
0.000 0.000 27.111
Al Tc Hg
6 3 3
Direct
0.000 0.000 0.238
0.000 0.000 0.762
0.333 0.667 0.429
0.333 0.667 0.905
0.667 0.333 0.095
0.667 0.333 0.571
0.000 0.000 0.500
0.333 0.667 0.167
0.667 0.333 0.833
0.000 0.000 0.000
0.333 0.667 0.667
0.667 0.333 0.333
```

DOS(E_F) (states/eV per cell): 7.62
Total moment (Bohr magnetons per cell): 0.00
Space group: R-3m
Energy (eV per atom): -4.527
Volume (Å³/atom): 17.5
ΔH_f (0 K) (eV/atom): 0.0110


Record 9
## Al2TlTcHg (GGA-PBE)

Data for Al2TlTcHg after structural relaxation.

Geometry as POSCAR:
```
Al2TlTcHg
1.0
4.837 0.000 0.000
0.000 4.837 0.000
0.000 0.000 5.363
Al Tl Tc Hg
2 1 1 1
Direct
0.000 0.500 0.000
0.500 0.000 0.000
0.000 0.000 0.500
0.000 0.000 0.000
0.500 0.500 0.500
```

DOS(E_F) (states/eV per cell): 2.73
Energy above the lowest structure with this stoichiometry (meV/atom): 0
Total moment (Bohr magnetons per cell): 0.00
Space group: P4/mmm
Energy (eV per atom): -3.787
Volume (Å³/atom): 25.1
ΔH_f (0 K) (eV/atom): 0.3167


Record 10
## Al2TlTcHg (GGA-PBE)

Data for Al2TlTcHg after structural relaxation.

Geometry as POSCAR:
```
Al2TlTcHg
1.0
5.190 0.000 0.000
0.000 5.190 0.000
0.000 0.000 5.507
Al Tl Tc Hg
2 1 1 1
Direct
0.000 0.500 0.000
0.500 0.000 0.000
0.000 0.000 0.000
0.500 0.500 0.500
0.000 0.000 0.500
```

DOS(E_F) (states/eV per cell): 3.60
Energy above the lowest structure with this stoichiometry (meV/atom): 1236
Total moment (Bohr magnetons per cell): 3.84
Space group: P4/mmm
Energy (eV per atom): -2.551
Volume (Å³/atom): 29.7
ΔH_f (0 K) (eV/atom): 1.5530


Record 11
## AlHg2Te (GGA-PBE)

Data for AlHg2Te after structural relaxation.

Geometry as POSCAR:
```
AlHg2Te
1.0
4.012 0.000 0.000
0.000 6.236 0.000
0.000 0.000 9.035
Al Hg Te
2 4 2
Direct
0.000 0.000 0.000
0.500 0.500 0.000
0.000 0.000 0.481
0.000 0.500 0.215
0.500 0.000 0.215
0.500 0.500 0.481
0.000 0.500 0.802
0.500 0.000 0.802
```

DOS(E_F) (states/eV per cell): 3.05
Energy above the lowest structure with this stoichiometry (meV/atom): 174
Total moment (Bohr magnetons per cell): 0.00
Formation energy (no corrections) (eV per atom): 0.067
Space group: Cmm2
Energy (eV per atom): -1.805
Volume (Å³/atom): 28.3


Record 12
## Al2HgTe (GGA-PBE)

Data for Al2HgTe after structural relaxation.

Geometry as POSCAR:
```
Al2HgTe
1.0
3.069 0.000 0.000
0.000 3.897 0.000
-0.751 0.000 8.086
Al Hg Te
2 1 1
Direct
0.000 0.000 0.000
0.460 0.500 0.826
0.278 0.000 0.575
0.061 0.500 0.251
```

DOS(E_F) (states/eV per cell): 1.43
Energy above the lowest structure with this stoichiometry (meV/atom): 47
Total moment (Bohr magnetons per cell): 0.00
Formation energy (no corrections) (eV per atom): 0.043
Space group: Pm
Energy (eV per atom): -2.689
Volume (Å³/atom): 24.2


Record 13
## Al2HgTe (GGA-PBE)

Data for Al2HgTe after structural relaxation.

Geometry as POSCAR:
```
Al2HgTe
1.0
3.940 0.000 0.000
0.000 4.131 0.000
-0.068 0.000 5.840
Al Hg Te
2 1 1
Direct
0.000 0.000 0.000
0.500 0.500 0.500
0.000 0.000 0.500
0.500 0.500 0.000
```

DOS(E_F) (states/eV per cell): 1.58
Energy above the lowest structure with this stoichiometry (meV/atom): 55
Total moment (Bohr magnetons per cell): 0.00
Formation energy (no corrections) (eV per atom): 0.051
Space group: P2/m
Energy (eV per atom): -2.681
Volume (Å³/atom): 23.8


Record 14
## AlHgTe2 (GGA-PBE)

Data for AlHgTe2 after structural relaxation.

Geometry as POSCAR:
```
AlHgTe2
1.0
3.978 0.000 0.000
-1.989 3.445 0.000
0.000 0.000 24.481
Al Hg Te
3 3 6
Direct
0.000 0.000 0.000
0.333 0.667 0.667
0.667 0.333 0.333
0.000 0.000 0.259
0.333 0.667 0.926
0.667 0.333 0.592
0.000 0.000 0.516
0.000 0.000 0.726
0.333 0.667 0.182
0.333 0.667 0.392
0.667 0.333 0.059
0.667 0.333 0.849
```

DOS(E_F) (states/eV per cell): 6.15
Total moment (Bohr magnetons per cell): 0.00
Formation energy (no corrections) (eV per atom): -0.019
Space group: R3m
Energy (eV per atom): -2.601
Volume (Å³/atom): 28.0


Record 15
## AlHgTe2 (GGA-PBE)

Data for AlHgTe2 after structural relaxation.

Geometry as POSCAR:
```
AlHgTe2
1.0
3.296 0.000 0.000
0.000 3.296 0.000
0.000 0.000 10.053
Al Hg Te
1 1 2
Direct
0.000 0.000 0.000
0.500 0.500 0.194
0.000 0.000 0.454
0.500 0.500 0.811
```

DOS(E_F) (states/eV per cell): 2.10
Total moment (Bohr magnetons per cell): 0.00
Formation energy (no corrections) (eV per atom): 0.148
Space group: P4mm
Energy (eV per atom): -2.434
Volume (Å³/atom): 27.3


Record 16
## AlHgTe (GGA-PBE)

Data for AlHgTe after structural relaxation.

Geometry as POSCAR:
```
AlHgTe
1.0
4.154 0.000 0.000
-0.010 5.355 0.000
-2.040 -1.302 8.424
Al Hg Te
2 2 2
Direct
0.166 0.036 0.327
0.834 0.964 0.673
0.054 0.324 0.104
0.946 0.676 0.896
0.317 0.280 0.637
0.683 0.720 0.363
```

DOS(E_F) (states/eV per cell): 0.08
Energy above the lowest structure with this stoichiometry (meV/atom): 54
Total moment (Bohr magnetons per cell): 0.00
Formation energy (no corrections) (eV per atom): -0.158
Space group: P-1
Energy (eV per atom): -2.553
Volume (Å³/atom): 31.2


Record 17
## Al2HgTe (GGA-PBE)

Data for Al2HgTe after structural relaxation.

Geometry as POSCAR:
```
Al2HgTe
1.0
7.240 0.000 0.000
0.000 7.240 0.000
0.000 0.000 7.240
Al Hg Te
8 4 4
Direct
0.000 0.000 0.000
0.000 0.500 0.500
0.250 0.250 0.250
0.250 0.750 0.750
0.500 0.000 0.500
0.500 0.500 0.000
0.750 0.250 0.750
0.750 0.750 0.250
0.250 0.250 0.750
0.250 0.750 0.250
0.750 0.250 0.250
0.750 0.750 0.750
0.000 0.000 0.500
0.000 0.500 0.000
0.500 0.000 0.000
0.500 0.500 0.500
```

DOS(E_F) (states/eV per cell): 17.40
Energy above the lowest structure with this stoichiometry (meV/atom): 349
Total moment (Bohr magnetons per cell): 0.00
Formation energy (no corrections) (eV per atom): 0.345
Space group: F-43m
Energy (eV per atom): -2.387
Volume (Å³/atom): 23.7


Record 18
## Al2HgTe (GGA-PBE)

Data for Al2HgTe after structural relaxation.

Geometry as POSCAR:
```
Al2HgTe
1.0
6.542 0.000 0.000
0.000 6.542 0.000
0.000 0.000 11.214
Al Hg Te
8 4 4
Direct
0.232 0.250 0.125
0.250 0.732 0.375
0.250 0.768 0.875
0.268 0.250 0.625
0.732 0.750 0.625
0.750 0.232 0.875
0.750 0.268 0.375
0.768 0.750 0.125
0.000 0.000 0.000
0.000 0.500 0.250
0.500 0.000 0.750
0.500 0.500 0.500
0.000 0.000 0.500
0.000 0.500 0.750
0.500 0.000 0.250
0.500 0.500 0.000
```

DOS(E_F) (states/eV per cell): 1.30
Energy above the lowest structure with this stoichiometry (meV/atom): 101
Total moment (Bohr magnetons per cell): 0.00
Formation energy (no corrections) (eV per atom): 0.098
Space group: I-42d
Energy (eV per atom): -2.634
Volume (Å³/atom): 30.0


Record 19
## AlHgTe (GGA-PBE)

Data for AlHgTe after structural relaxation.

Geometry as POSCAR:
```
AlHgTe
1.0
14.426 0.000 0.000
0.000 4.206 0.000
-2.220 0.000 6.329
Al Hg Te
4 4 4
Direct
0.000 0.000 0.000
0.153 0.500 0.413
0.500 0.500 0.000
0.653 0.000 0.413
0.327 0.500 0.698
0.338 0.000 0.087
0.827 0.000 0.698
0.838 0.500 0.087
0.034 0.000 0.429
0.121 0.500 0.991
0.534 0.500 0.429
0.621 0.000 0.991
```

DOS(E_F) (states/eV per cell): 0.45
Energy above the lowest structure with this stoichiometry (meV/atom): 22
Total moment (Bohr magnetons per cell): 0.00
Formation energy (no corrections) (eV per atom): -0.190
Space group: Cm
Energy (eV per atom): -2.585
Volume (Å³/atom): 32.0


Record 20
## Al2HgTe (GGA-PBE)

Data for Al2HgTe after structural relaxation.

Geometry as POSCAR:
```
Al2HgTe
1.0
3.752 0.000 0.000
0.000 4.443 0.000
0.000 0.000 5.739
Al Hg Te
2 1 1
Direct
0.000 0.000 0.000
0.000 0.500 0.500
0.500 0.000 0.500
0.500 0.500 0.000
```

DOS(E_F) (states/eV per cell): 1.74
Energy above the lowest structure with this stoichiometry (meV/atom): 188
Total moment (Bohr magnetons per cell): 0.00
Formation energy (no corrections) (eV per atom): 0.185
Space group: Pmmm
Energy (eV per atom): -2.547
Volume (Å³/atom): 23.9